Entry 1:
Material: PrInGe4
Method: DFT, PBE
State: relaxed

## Properties
DFT total energy (eV per atom): -4.53
DFT formation energy (meV/atom): -199
Total magnetization (μB/atom): 0.00

Structure (extended XYZ):
```
6
Lattice="5.706 0.000 0.000 2.853 4.942 0.000 2.853 1.647 4.659" Properties=species:S:1:pos:R:3 pbc="T T T"
Ge 5.706 3.294 0.581
Ge 5.706 1.646 2.912
Ge 7.134 4.119 2.912
In 0.000 0.000 0.000
Pr 2.853 1.647 1.165
Ge 4.279 4.119 2.912
```

=====

Entry 2:
Material: NdDy3Ho2Tm6
Method: DFT, PBE
State: relaxed

## Properties
DFT total energy (eV per atom): -4.52
DFT formation energy (meV/atom): 22
Total magnetization (μB/atom): 0.00

Structure (extended XYZ):
```
12
Lattice="6.100 0.002 0.011 -3.047 5.285 0.011 -1.036 -1.794 11.463" Properties=species:S:1:pos:R:3 pbc="T T T"
Tm -1.021 1.758 2.884
Ho 0.002 3.524 0.011
Ho 3.051 1.763 0.011
Dy 4.055 -0.014 5.743
Dy -2.038 3.506 5.743
Tm 2.033 -0.006 2.884
Tm -0.013 -0.023 8.592
Tm -0.016 3.498 8.601
Tm 3.038 1.734 8.601
Tm 2.030 3.515 2.893
Dy 1.008 1.746 5.743
Nd 0.000 0.000 0.000
```

=====

Entry 3:
Material: Ga3SnP
Method: DFT, PBE
State: relaxed

## Properties
DFT total energy (eV per atom): -2.88
DFT formation energy (meV/atom): 816
Total magnetization (μB/atom): 0.00

Structure (extended XYZ):
```
5
Lattice="5.193 0.000 0.000 0.000 5.193 0.000 0.000 0.000 5.193" Properties=species:S:1:pos:R:3 pbc="T T T"
Sn 0.000 0.000 0.000
Ga 0.000 0.000 2.597
Ga 2.597 0.000 0.000
Ga 0.000 2.597 0.000
P 2.597 2.597 2.597
```

=====

Entry 4:
Material: Be2Cu2Hg
Method: DFT, PBE
State: relaxed

## Properties
DFT total energy (eV per atom): -2.97
DFT formation energy (meV/atom): 217
Total magnetization (μB/atom): 0.00

Structure (extended XYZ):
```
5
Lattice="3.219 0.000 0.000 0.000 3.219 0.000 1.610 1.610 6.298" Properties=species:S:1:pos:R:3 pbc="T T T"
Be 3.219 1.610 3.149
Cu 3.219 3.219 4.787
Cu 1.610 1.610 1.511
Hg 0.000 0.000 0.000
Be 1.610 3.219 3.149
```

=====

Entry 5:
Material: LaRh2W
Method: DFT, PBE
State: relaxed

## Properties
DFT total energy (eV per atom): -7.89
DFT formation energy (meV/atom): 253
Total magnetization (μB/atom): 0.00

Structure (extended XYZ):
```
4
Lattice="-0.810 -4.434 2.673 -4.912 -0.460 1.768 2.105 1.110 -4.669" Properties=species:S:1:pos:R:3 pbc="T T T"
La -0.783 -2.886 0.112
Rh 0.000 0.000 0.000
W -2.861 -2.447 2.220
Rh -2.834 -0.899 -0.341
```